Entry from the Open Quantum Materials Database: a relaxed structure of NaHoIr (PBE).

Computed properties:
energy above the most stable polymorph in this dataset = 0.3563 eV/atom
magnetic moment = 0.00 μB per atom
space-group type = F-43m (216)

```
NaHoIr
1.0
0.000 3.303 3.303
3.303 0.000 3.303
3.303 3.303 0.000
Na Ho Ir
1 1 1
Direct
0.000 0.000 0.000 Na
0.750 0.750 0.750 Ho
0.500 0.500 0.500 Ir
```